Entry 1:
## HfThHg2 (PBE)

Data for an optimized crystal structure of HfThHg2.

Values from the calculation:
Fermi-level density of states, states/eV/cell: 4.0
Space group: No. 123
Energy relative to the elements, eV/atom: -0.03
Energy above the lowest structure with this stoichiometry, meV per atom: 49

Lattice parameters (Å, degrees): 4.585 4.619 4.619 90.00 90.00 90.00
Sites, in units of the cell vectors:
Hf 0.500 0.500 0.500
Th 0.500 0.000 0.000
Hg 0.000 0.000 0.500
Hg 0.000 0.500 0.000



Entry 2:
## Hf2TiHg (PBE)

Data for an optimized crystal structure of Hf2TiHg.

Values from the calculation:
Fermi-level density of states, states/eV/cell: 4.3
Space group: No. 123
Energy relative to the elements, eV/atom: -0.02

Lattice parameters (Å, degrees): 4.288 4.332 4.332 90.00 90.00 90.00
Sites, in units of the cell vectors:
Ti 0.500 0.000 0.000
Hf 0.000 0.000 0.500
Hf 0.000 0.500 0.000
Hg 0.500 0.500 0.500



Entry 3:
## Hf3TiHg (PBE)

Data for an optimized crystal structure of Hf3TiHg.

Values from the calculation:
Fermi-level density of states, states/eV/cell: 5.6
Space group: No. 221
Energy relative to the elements, eV/atom: 1.29
Energy above the lowest structure with this stoichiometry, meV per atom: 390

Lattice parameters (Å, degrees): 5.185 5.185 5.185 90.00 90.00 90.00
Sites, in units of the cell vectors:
Hf 0.500 0.000 0.000
Hg 0.000 0.000 0.000
Hf 0.000 0.500 0.000
Ti 0.500 0.500 0.500
Hf 0.000 0.000 0.500



Entry 4:
## Hf2TiHg2 (PBE)

Data for an optimized crystal structure of Hf2TiHg2.

Values from the calculation:
Fermi-level density of states, states/eV/cell: 5.8
Space group: No. 127
Energy relative to the elements, eV/atom: 0.31
Energy above the lowest structure with this stoichiometry, meV per atom: 316

Lattice parameters (Å, degrees): 8.404 8.404 3.115 90.00 90.00 90.00
Sites, in units of the cell vectors:
Ti 0.000 0.000 0.000
Hf 0.624 0.124 0.000
Hf 0.876 0.624 0.000
Hg 0.827 0.327 0.500
Hf 0.124 0.376 0.000
Hf 0.376 0.876 0.000
Ti 0.500 0.500 0.000
Hg 0.673 0.827 0.500
Hg 0.327 0.173 0.500
Hg 0.173 0.673 0.500



Entry 5:
## Hf2TiHg2 (PBE)

Data for an optimized crystal structure of Hf2TiHg2.

Values from the calculation:
Fermi-level density of states, states/eV/cell: 4.5
Space group: No. 65
Energy relative to the elements, eV/atom: -0.01
Energy above the lowest structure with this stoichiometry, meV per atom: 0

Lattice parameters (Å, degrees): 3.095 3.103 11.227 82.06 90.00 90.00
Sites, in units of the cell vectors:
Hf 0.500 0.410 0.181
Hg 0.000 0.808 0.384
Hg 0.000 0.192 0.616
Hf 0.500 0.590 0.819
Ti 0.000 0.000 0.000



Entry 6:
## HfTi4Hg (PBE)

Data for an optimized crystal structure of HfTi4Hg.

Values from the calculation:
Fermi-level density of states, states/eV/cell: 9.3
Space group: No. 216
Energy relative to the elements, eV/atom: 0.13

Lattice parameters (Å, degrees): 5.390 5.390 5.390 60.00 60.00 60.00
Sites, in units of the cell vectors:
Hf 0.250 0.250 0.250
Ti 0.622 0.622 0.622
Ti 0.622 0.133 0.622
Ti 0.133 0.622 0.622
Hg 0.000 0.000 0.000
Ti 0.622 0.622 0.133



Entry 7:
## Hf3TiHg (PBE)

Data for an optimized crystal structure of Hf3TiHg.

Values from the calculation:
Fermi-level density of states, states/eV/cell: 7.4
Space group: No. 221
Energy relative to the elements, eV/atom: 0.90
Energy above the lowest structure with this stoichiometry, meV per atom: 0

Lattice parameters (Å, degrees): 4.925 4.925 4.925 90.00 90.00 90.00
Sites, in units of the cell vectors:
Hf 0.500 0.000 0.000
Hf 0.000 0.000 0.500
Hg 0.500 0.500 0.500
Hf 0.000 0.500 0.000
Ti 0.000 0.000 0.000



Entry 8:
## Hf2TiHg2 (PBE)

Data for an optimized crystal structure of Hf2TiHg2.

Values from the calculation:
Fermi-level density of states, states/eV/cell: 5.3
Space group: No. 139
Energy relative to the elements, eV/atom: 0.52
Energy above the lowest structure with this stoichiometry, meV per atom: 529

Lattice parameters (Å, degrees): 4.030 4.030 7.768 74.97 74.97 90.00
Sites, in units of the cell vectors:
Hf 0.596 0.596 0.807
Hg 0.250 0.750 0.500
Hg 0.750 0.250 0.500
Ti 0.000 0.000 0.000
Hf 0.404 0.404 0.193



Entry 9:
## Hf2TiHg (PBE)

Data for an optimized crystal structure of Hf2TiHg.

Values from the calculation:
Fermi-level density of states, states/eV/cell: 4.0
Space group: No. 166
Energy relative to the elements, eV/atom: 0.02

Lattice parameters (Å, degrees): 3.167 3.167 9.892 80.79 80.79 60.00
Sites, in units of the cell vectors:
Hf 0.753 0.753 0.741
Hf 0.247 0.247 0.259
Hg 0.000 0.000 0.000
Ti 0.500 0.500 0.500



Entry 10:
## Hf4Ti2Hg (PBE)

Data for an optimized crystal structure of Hf4Ti2Hg.

Values from the calculation:
Fermi-level density of states, states/eV/cell: 9.2
Space group: No. 139
Energy relative to the elements, eV/atom: 1.17

Lattice parameters (Å, degrees): 5.265 5.265 7.541 69.57 69.57 90.00
Sites, in units of the cell vectors:
Hf 0.207 0.207 0.586
Hf 0.793 0.793 0.414
Hf 0.500 0.000 0.000
Ti 0.594 0.594 0.813
Ti 0.406 0.406 0.187
Hf 0.000 0.500 0.000
Hg 0.000 0.000 0.000



Entry 11:
## Hf2TiHg2 (PBE)

Data for an optimized crystal structure of Hf2TiHg2.

Values from the calculation:
Fermi-level density of states, states/eV/cell: 11.0
Space group: No. 127
Energy relative to the elements, eV/atom: 0.14
Energy above the lowest structure with this stoichiometry, meV per atom: 146

Lattice parameters (Å, degrees): 7.288 7.288 4.008 90.00 90.00 90.00
Sites, in units of the cell vectors:
Hg 0.635 0.135 0.000
Ti 0.000 0.000 0.000
Hf 0.673 0.827 0.500
Hf 0.827 0.327 0.500
Hg 0.135 0.365 0.000
Hg 0.365 0.865 0.000
Ti 0.500 0.500 0.000
Hf 0.327 0.173 0.500
Hf 0.173 0.673 0.500
Hg 0.865 0.635 0.000



Entry 12:
## Hf2TiHg (PBE)

Data for an optimized crystal structure of Hf2TiHg.

Values from the calculation:
Fermi-level density of states, states/eV/cell: 4.8
Space group: No. 123
Energy relative to the elements, eV/atom: -0.05

Lattice parameters (Å, degrees): 3.111 3.111 8.477 90.00 90.00 90.00
Sites, in units of the cell vectors:
Hf 0.000 0.000 0.238
Hg 0.500 0.500 0.500
Hf 0.000 0.000 0.762
Ti 0.500 0.500 0.000



- What is the formula in the fourth record?
  Hf2TiHg2



- The highest Fermi-level density of states belongs to which entry?
  number 11



- Which of these has the lowest energy relative to the elements?
  number 12